Material: Cr2AgAu
Method: DFT, GGA-PBE
State: relaxed

Cell and atoms, written as CIF:
```
data_Cr2AgAu
_chemical_formula_sum 'Cr4 Ag2 Au2'
_cell_length_a 9.759
_cell_length_b 2.914
_cell_length_c 4.764
_cell_angle_alpha 90.00
_cell_angle_beta 106.52
_cell_angle_gamma 90.00
_symmetry_space_group_name_H-M 'C 1 2/m 1'
_symmetry_Int_Tables_number 12
loop_
_symmetry_equiv_pos_as_xyz
'x,y,z'
'-x,-y,-z'
'-x,y,-z'
'x,-y,z'
'x+1/2,y+1/2,z'
'-x+1/2,-y+1/2,-z'
'-x+1/2,y+1/2,-z'
'x+1/2,-y+1/2,z'
loop_
_atom_site_label
_atom_site_fract_x
_atom_site_fract_y
_atom_site_fract_z
Cr1 0.248 0.000 0.159
Ag1 0.000 0.000 0.500
Au1 0.000 0.500 0.000
```

Properties
**M_tot**: 0.00 μB/f.u.
**Offset from the most stable computed form**: 0.3348 eV per atom
**Calculated formation energy**: 0.51 eV/atom
**Total DFT energy (no corrections)**: -46.64 eV for the cell shown



Material: Nd6SbSe3S2
Method: DFT, GGA-PBE
State: relaxed

Cell and atoms, written as CIF:
```
data_Nd6SbSe3S2
_chemical_formula_sum 'Nd12 Sb2 Se6 S4'
_cell_length_a 18.478
_cell_length_b 4.219
_cell_length_c 8.516
_cell_angle_alpha 90.00
_cell_angle_beta 103.72
_cell_angle_gamma 90.00
_symmetry_space_group_name_H-M 'C 1 2/m 1'
_symmetry_Int_Tables_number 12
loop_
_symmetry_equiv_pos_as_xyz
'x,y,z'
'-x,-y,-z'
'-x,y,-z'
'x,-y,z'
'x+1/2,y+1/2,z'
'-x+1/2,-y+1/2,-z'
'-x+1/2,y+1/2,-z'
'x+1/2,-y+1/2,z'
loop_
_atom_site_label
_atom_site_fract_x
_atom_site_fract_y
_atom_site_fract_z
Nd1 0.008 0.000 0.263
Nd2 0.172 0.500 0.104
Nd3 0.172 0.500 0.573
Sb1 0.000 0.500 0.000
Se1 0.000 0.500 0.500
Se2 0.163 0.000 0.833
S1 0.169 0.000 0.337
```

Properties
**M_tot**: 0.00 μB/f.u.
**Formation energy from raw total energies**: -1.775 eV per atom
**Total DFT energy (no corrections)**: -145.47 eV for the cell shown



Material: ZrInBr2
Method: DFT, GGA-PBE
State: relaxed

Cell and atoms, written as CIF:
```
data_ZrInBr2
_chemical_formula_sum 'Zr2 In2 Br4'
_cell_length_a 3.370
_cell_length_b 4.955
_cell_length_c 13.828
_cell_angle_alpha 90.00
_cell_angle_beta 90.00
_cell_angle_gamma 90.00
_symmetry_space_group_name_H-M 'I m m 2'
_symmetry_Int_Tables_number 44
loop_
_symmetry_equiv_pos_as_xyz
'x,y,z'
'-x,-y,z'
'-x,y,z'
'x,-y,z'
'x+1/2,y+1/2,z+1/2'
'-x+1/2,-y+1/2,z+1/2'
'-x+1/2,y+1/2,z+1/2'
'x+1/2,-y+1/2,z+1/2'
loop_
_atom_site_label
_atom_site_fract_x
_atom_site_fract_y
_atom_site_fract_z
Zr1 0.000 0.000 0.000
In1 0.000 0.500 0.310
Br1 0.000 0.000 0.468
Br2 0.000 0.500 0.657
```

Properties
**M_tot**: 0.77 μB/f.u.
**Offset from the most stable computed form**: 0.3235 eV per atom
**Formation energy from raw total energies**: -0.437 eV per atom
**Total DFT energy (no corrections)**: -32.76 eV for the cell shown



Material: K2SiBr5
Method: DFT, GGA-PBE
State: relaxed

Cell and atoms, written as CIF:
```
data_K2SiBr5
_chemical_formula_sum 'K4 Si2 Br10'
_cell_length_a 7.791
_cell_length_b 7.791
_cell_length_c 9.432
_cell_angle_alpha 90.00
_cell_angle_beta 90.00
_cell_angle_gamma 90.00
_symmetry_space_group_name_H-M 'I 4 m m'
_symmetry_Int_Tables_number 107
_symmetry_space_group_name_Hall 'I 4 -2'
loop_
_atom_site_label
_atom_site_fract_x
_atom_site_fract_y
_atom_site_fract_z
K1 0.000 0.500 0.000
Si1 0.000 0.000 0.274
Br1 0.000 0.000 0.518
Br2 0.230 0.230 0.245
```

Properties
**M_tot**: 0.87 μB/f.u.
**Formation energy from raw total energies**: -1.080 eV per atom
**Total DFT energy (no corrections)**: -49.24 eV for the cell shown



Material: Sm7Er2Tl2
Method: DFT, GGA-PBE
State: relaxed

Cell and atoms, written as CIF:
```
data_Sm7Er2Tl2
_chemical_formula_sum 'Sm14 Er4 Tl4'
_cell_length_a 3.664
_cell_length_b 20.280
_cell_length_c 9.802
_cell_angle_alpha 90.00
_cell_angle_beta 90.00
_cell_angle_gamma 90.00
_symmetry_space_group_name_H-M 'I m m 2'
_symmetry_Int_Tables_number 44
loop_
_symmetry_equiv_pos_as_xyz
'x,y,z'
'-x,-y,z'
'-x,y,z'
'x,-y,z'
'x+1/2,y+1/2,z+1/2'
'-x+1/2,-y+1/2,z+1/2'
'-x+1/2,y+1/2,z+1/2'
'x+1/2,-y+1/2,z+1/2'
loop_
_atom_site_label
_atom_site_fract_x
_atom_site_fract_y
_atom_site_fract_z
Sm1 0.000 0.000 0.000
Sm2 0.000 0.129 0.461
Sm3 0.000 0.339 0.657
Sm4 0.000 0.367 0.285
Er1 0.000 0.000 0.651
Er2 0.000 0.500 0.824
Tl1 0.000 0.244 0.942
```

Properties
**M_tot**: 0.00 μB/f.u.
**Calculated formation energy**: -0.02 eV/atom
**Total DFT energy (no corrections)**: -94.33 eV for the cell shown



Material: TlGe3Te
Method: DFT, GGA-PBE
State: relaxed

Cell and atoms, written as CIF:
```
data_TlGe3Te
_chemical_formula_sum 'Tl1 Ge3 Te1'
_cell_length_a 5.507
_cell_length_b 5.507
_cell_length_c 5.507
_cell_angle_alpha 90.00
_cell_angle_beta 90.00
_cell_angle_gamma 90.00
_symmetry_space_group_name_H-M 'P m -3 m'
_symmetry_Int_Tables_number 221
_symmetry_space_group_name_Hall '-P 4 2 3'
loop_
_atom_site_label
_atom_site_fract_x
_atom_site_fract_y
_atom_site_fract_z
Tl1 0.000 0.000 0.000
Ge1 0.000 0.500 0.500
Te1 0.500 0.500 0.500
```

Properties
**M_tot**: 0.00 μB/f.u.
**Offset from the most stable computed form**: 0.0000 eV per atom
**Formation energy from raw total energies**: 0.778 eV per atom
**Total DFT energy (no corrections)**: -15.47 eV for the cell shown



Q: Number 3 is which compound?
A: ZrInBr2